Entry 1:
{
  "formula": "TiBeFeCu",
  "functional": "PBE",
  "state": "relaxed",
  "lattice": [[0.000, 2.858, 2.858], [2.858, 0.000, 2.858], [2.858, 2.858, 0.000]],
  "species": ["Ti", "Be", "Fe", "Cu"],
  "fractional_positions": [[0.000, 0.000, 0.000], [0.500, 0.500, 0.500], [0.250, 0.250, 0.250], [0.750, 0.750, 0.750]],
  "spacegroup": "No. 216",
  "mass_density_g_cm3": 6.3,
  "e_form_ev_per_atom": -0.061
}

Entry 2:
{
  "formula": "PmMg2Au3",
  "functional": "PBE",
  "state": "relaxed",
  "lattice": [[4.742, 0.000, 0.000], [-2.371, 4.106, 0.000], [0.000, 0.000, 12.943]],
  "species": ["Pm", "Pm", "Mg", "Mg", "Mg", "Mg", "Au", "Au", "Au", "Au", "Au", "Au"],
  "fractional_positions": [[0.333, 0.667, 0.177], [0.667, 0.333, 0.823], [0.000, 0.000, 0.000], [0.000, 0.000, 0.500], [0.333, 0.667, 0.648], [0.667, 0.333, 0.352], [0.000, 0.000, 0.286], [0.000, 0.000, 0.714], [0.333, 0.667, 0.424], [0.333, 0.667, 0.939], [0.667, 0.333, 0.061], [0.667, 0.333, 0.576]],
  "spacegroup": "No. 164",
  "mass_density_g_cm3": 10.3,
  "e_form_ev_per_atom": -0.688
}

Values of size of the total moment, in order: 0.09, 0.00, all in μB per atom.
Values of volume, in order: 46.7, 252.0, all in Å³/cell.
Values of uncorrected energy, in order: -6.106, -3.650, all in eV/atom.